No. 1
Here is a relaxed structure of Tb2PmNd2Y6 from Alexandria via LeMat-Bulk. Energies are from PBE.

**VASP energy**: -5.5181 eV per atom
**Space group**: No. 12
**Formation energy**: 3.4 kcal/mol of atoms

Structure (POSCAR):
```
Tb2PmNd2Y6
1.0
6.647 -0.608 -0.502
-3.814 5.478 -0.502
-1.881 -3.234 11.510
Tb Pm Nd Y
2 1 2 6
Direct
0.295 0.705 0.500
0.705 0.295 0.500
0.000 0.000 0.500
0.866 0.134 0.000
0.134 0.866 0.000
0.709 0.709 0.707
0.140 0.445 0.791
0.291 0.291 0.293
0.445 0.140 0.791
0.860 0.555 0.209
0.555 0.860 0.209
```

=====

No. 2
Here is a relaxed structure of Tb4Pm2Nd2Y from Alexandria via LeMat-Bulk. Energies are from PBE.

**VASP energy**: -4.8870 eV per atom
**Space group**: No. 12
**Formation energy**: 0.1 kcal/mol of atoms

Structure (POSCAR):
```
Tb4Pm2Nd2Y
1.0
3.642 0.000 0.000
-1.821 9.439 -0.501
0.000 -3.739 8.939
Tb Pm Nd Y
4 2 2 1
Direct
0.815 0.630 0.665
0.185 0.370 0.335
0.519 0.038 0.333
0.481 0.962 0.667
0.853 0.706 0.336
0.147 0.294 0.664
0.334 0.669 0.000
0.666 0.331 0.000
0.000 0.000 0.000
```

=====

No. 3
Here is a relaxed structure of Tb5Pm2NdY from Alexandria via LeMat-Bulk. Energies are from PBE.

**VASP energy**: -4.6095 eV per atom
**Space group**: No. 140
**Formation energy**: 6.1 kcal/mol of atoms

Structure (POSCAR):
```
Tb5Pm2NdY
1.0
8.778 0.000 0.000
0.000 8.778 0.000
-4.389 -4.389 7.776
Tb Pm Nd Y
10 4 2 2
Direct
0.927 0.427 0.274
0.653 0.153 0.726
0.073 0.573 0.726
0.153 0.073 0.726
0.573 0.653 0.726
0.847 0.927 0.274
0.427 0.347 0.274
0.347 0.847 0.274
0.500 0.500 0.000
0.000 0.000 0.000
0.116 0.384 0.000
0.616 0.116 0.000
0.384 0.884 0.000
0.884 0.616 0.000
0.250 0.250 0.500
0.750 0.750 0.500
0.250 0.750 0.500
0.750 0.250 0.500
```

=====

No. 4
Here is a relaxed structure of TbPm5Nd2Y from Alexandria via LeMat-Bulk. Energies are from PBE.

**VASP energy**: -4.6646 eV per atom
**Space group**: No. 140
**Formation energy**: 6.2 kcal/mol of atoms

Structure (POSCAR):
```
TbPm5Nd2Y
1.0
-2.181 -3.950 7.449
-2.581 -7.012 -4.474
9.913 2.358 -0.938
Tb Pm Nd Y
2 10 4 2
Direct
0.250 0.750 0.500
0.750 0.250 0.500
0.929 0.429 0.283
0.646 0.146 0.717
0.071 0.571 0.717
0.146 0.071 0.717
0.571 0.646 0.717
0.854 0.929 0.283
0.429 0.354 0.283
0.354 0.854 0.283
0.500 0.500 0.000
0.000 0.000 0.000
0.120 0.380 0.000
0.620 0.120 0.000
0.380 0.880 0.000
0.880 0.620 0.000
0.250 0.250 0.500
0.750 0.750 0.500
```

=====

No. 5
Here is a relaxed structure of TbPm2Nd2Y6 from Alexandria via LeMat-Bulk. Energies are from PBE.

**VASP energy**: -5.5395 eV per atom
**Space group**: No. 65
**Formation energy**: 3.2 kcal/mol of atoms

Structure (POSCAR):
```
TbPm2Nd2Y6
1.0
6.672 -0.614 -0.480
-3.832 5.496 -0.480
-1.942 -3.338 11.431
Tb Pm Nd Y
1 2 2 6
Direct
0.000 0.000 0.500
0.291 0.709 0.500
0.709 0.291 0.500
0.869 0.131 0.000
0.131 0.869 0.000
0.703 0.703 0.703
0.146 0.448 0.797
0.297 0.297 0.297
0.448 0.146 0.797
0.854 0.552 0.203
0.552 0.854 0.203
```

=====

No. 6
Here is a relaxed structure of Tb2Pm5NdY from Alexandria via LeMat-Bulk. Energies are from PBE.

**VASP energy**: -4.7720 eV per atom
**Space group**: No. 36
**Formation energy**: 3.3 kcal/mol of atoms

Structure (POSCAR):
```
Tb2Pm5NdY
1.0
-2.469 4.514 -2.471
-5.329 -8.403 -3.436
-6.719 0.868 8.298
Tb Pm Nd Y
4 10 2 2
Direct
0.884 0.768 0.819
0.113 0.226 0.734
0.116 0.232 0.319
0.887 0.774 0.234
0.388 0.775 0.023
0.719 0.438 0.812
0.480 0.960 0.741
0.298 0.595 0.708
0.983 0.965 0.521
0.612 0.225 0.523
0.281 0.562 0.312
0.520 0.040 0.241
0.702 0.405 0.208
0.017 0.035 0.021
0.587 0.174 0.955
0.413 0.826 0.455
0.800 0.599 0.511
0.200 0.401 0.011
```